DFT (PBE with a Hubbard U) results for an optimized crystal structure of Pm2CrGeO6.

CIF file:
```
data_Pm2CrGeO6
_chemical_formula_sum 'Pm2 Cr1 Ge1 O6'
_symmetry_space_group_name_H-M 'P 4 m m'
_symmetry_Int_Tables_number 99
_symmetry_space_group_name_Hall 'P 4 -2'
_cell_length_a 5.4867
_cell_length_b 5.4867
_cell_length_c 4.3489
_cell_angle_alpha 90.00
_cell_angle_beta 90.00
_cell_angle_gamma 90.00
loop_
_atom_site_label
_atom_site_type_symbol
_atom_site_fract_x
_atom_site_fract_y
_atom_site_fract_z
Pm1 Pm 0.0000 0.5000 0.0000
Cr1 Cr 0.0000 0.0000 0.5755
Ge1 Ge 0.5000 0.5000 0.5765
O1 O 0.0000 0.0000 0.1034
O2 O 0.2674 0.2674 0.6787
O3 O 0.5000 0.5000 0.1662
```

Properties
For the energy, the calculation gives -7.528 eV/atom. The value obtained for the magnetization is 4.00 μB per formula unit.